1.
CsTb2As2Se6 | PBE | relaxed

Values from the calculation:
uncorrected formation energy: -0.96 eV/atom
electronic total energy: -50.85 eV/cell
space-group type: P-1 (2)
V: 36.02 Å³/atom

Cell: 7.925 7.972 8.102 Å, 99.71 118.15 108.40°
Fractional coordinates of all 11 atoms:
1 Cs 0.000 0.000 0.000
2 Tb 0.375 0.036 0.663
3 Tb 0.625 0.964 0.337
4 As 0.002 0.519 0.347
5 As 0.998 0.481 0.653
6 Se 0.074 0.207 0.648
7 Se 0.313 0.802 0.903
8 Se 0.441 0.747 0.496
9 Se 0.559 0.253 0.504
10 Se 0.687 0.198 0.097
11 Se 0.926 0.793 0.352

2.
CsTcAsSe2 | PBE | relaxed

Values from the calculation:
E above lowest polymorph: 2449 meV per atom
uncorrected formation energy: 2.37 eV/atom
electronic total energy: -10.97 eV/cell
space-group type: P4/mmm (123)
V: 35.67 Å³/atom

Cell: 5.556 5.556 5.778 Å, 90.00 90.00 90.00°
Fractional coordinates of all 5 atoms:
1 Cs 0.000 0.000 0.000
2 Tc 0.500 0.500 0.500
3 As 0.000 0.000 0.500
4 Se 0.000 0.500 0.000
5 Se 0.500 0.000 0.000

3.
CsTcAsSe2 | PBE | relaxed

Values from the calculation:
E above lowest polymorph: 0 meV per atom
uncorrected formation energy: -0.07 eV/atom
electronic total energy: -23.21 eV/cell
space-group type: P4/mmm (123)
V: 26.24 Å³/atom

Cell: 5.211 5.211 4.832 Å, 90.00 90.00 90.00°
Fractional coordinates of all 5 atoms:
1 Cs 0.000 0.000 0.000
2 Tc 0.500 0.500 0.500
3 As 0.500 0.500 0.000
4 Se 0.000 0.500 0.500
5 Se 0.500 0.000 0.500

4.
CsTeAs2Se | PBE | relaxed

Values from the calculation:
E above lowest polymorph: 1324 meV per atom
uncorrected formation energy: 1.57 eV/atom
electronic total energy: -8.92 eV/cell
space-group type: P4/mmm (123)
V: 38.11 Å³/atom

Cell: 5.904 5.904 5.466 Å, 90.00 90.00 90.00°
Fractional coordinates of all 5 atoms:
1 Cs 0.000 0.000 0.000
2 Te 0.500 0.500 0.500
3 As 0.000 0.500 0.000
4 As 0.500 0.000 0.000
5 Se 0.000 0.000 0.500

5.
Cs2TeAsSe4 | PBE | relaxed

Values from the calculation:
uncorrected formation energy: -0.40 eV/atom
electronic total energy: -53.34 eV/cell
space-group type: C2/c (15)
V: 32.94 Å³/atom

Cell: 8.853 8.853 8.700 Å, 116.63 116.63 90.11°
Fractional coordinates of all 16 atoms:
1 Cs 0.000 0.000 0.000
2 Cs 0.000 0.000 0.500
3 Cs 0.000 0.500 0.000
4 Cs 0.500 0.000 0.500
5 Te 0.000 0.500 0.500
6 Te 0.500 0.000 0.000
7 As 0.500 0.500 0.000
8 As 0.500 0.500 0.500
9 Se 0.256 0.699 0.507
10 Se 0.287 0.331 0.575
11 Se 0.301 0.744 0.993
12 Se 0.331 0.287 0.075
13 Se 0.669 0.713 0.925
14 Se 0.699 0.256 0.007
15 Se 0.713 0.669 0.425
16 Se 0.744 0.301 0.493

6.
CsTeAsSe2 | PBE | relaxed

Values from the calculation:
E above lowest polymorph: 1376 meV per atom
uncorrected formation energy: 1.37 eV/atom
electronic total energy: -8.76 eV/cell
space-group type: P4/mmm (123)
V: 45.30 Å³/atom

Cell: 5.584 5.584 7.264 Å, 90.00 90.00 90.00°
Fractional coordinates of all 5 atoms:
1 Cs 0.000 0.000 0.000
2 Te 0.500 0.500 0.500
3 As 0.000 0.000 0.500
4 Se 0.000 0.500 0.000
5 Se 0.500 0.000 0.000

7.
CsTeAs2Se | PBE | relaxed

Values from the calculation:
E above lowest polymorph: 0 meV per atom
uncorrected formation energy: 0.25 eV/atom
electronic total energy: -15.54 eV/cell
space-group type: P4/mmm (123)
V: 34.91 Å³/atom

Cell: 5.562 5.562 5.644 Å, 90.00 90.00 90.00°
Fractional coordinates of all 5 atoms:
1 Cs 0.000 0.000 0.000
2 Te 0.500 0.500 0.500
3 As 0.000 0.500 0.500
4 As 0.500 0.000 0.500
5 Se 0.500 0.500 0.000

8.
CsTeAsSe2 | PBE | relaxed

Values from the calculation:
E above lowest polymorph: 0 meV per atom
uncorrected formation energy: -0.01 eV/atom
electronic total energy: -15.65 eV/cell
space-group type: P4/mmm (123)
V: 34.57 Å³/atom

Cell: 5.598 5.598 5.515 Å, 90.00 90.00 90.00°
Fractional coordinates of all 5 atoms:
1 Cs 0.000 0.000 0.000
2 Te 0.500 0.500 0.500
3 As 0.500 0.500 0.000
4 Se 0.000 0.500 0.500
5 Se 0.500 0.000 0.500

9.
Cs2ThAs2Se6 | PBE | relaxed

Values from the calculation:
uncorrected formation energy: -0.85 eV/atom
electronic total energy: -48.70 eV/cell
space-group type: C2/m (12)
V: 36.58 Å³/atom

Cell: 7.413 7.413 9.157 Å, 110.97 110.97 61.59°
Fractional coordinates of all 11 atoms:
1 Cs 0.201 0.201 0.164
2 Cs 0.799 0.799 0.836
3 Th 0.000 0.000 0.500
4 As 0.431 0.431 0.802
5 As 0.569 0.569 0.198
6 Se 0.214 0.715 0.236
7 Se 0.241 0.241 0.581
8 Se 0.285 0.786 0.764
9 Se 0.715 0.214 0.236
10 Se 0.759 0.759 0.419
11 Se 0.786 0.285 0.764

10.
CsTlAsSe2 | PBE | relaxed

Values from the calculation:
E above lowest polymorph: 0 meV per atom
uncorrected formation energy: 0.09 eV/atom
electronic total energy: -14.37 eV/cell
space-group type: P4/mmm (123)
V: 35.43 Å³/atom

Cell: 5.668 5.668 5.513 Å, 90.00 90.00 90.00°
Fractional coordinates of all 5 atoms:
1 Cs 0.000 0.000 0.000
2 Tl 0.500 0.500 0.500
3 As 0.500 0.500 0.000
4 Se 0.000 0.500 0.500
5 Se 0.500 0.000 0.500

11.
CsTlAs2Se | PBE | relaxed

Values from the calculation:
E above lowest polymorph: 0 meV per atom
uncorrected formation energy: 0.33 eV/atom
electronic total energy: -14.34 eV/cell
space-group type: P4/mmm (123)
V: 35.35 Å³/atom

Cell: 5.537 5.537 5.765 Å, 90.00 90.00 90.00°
Fractional coordinates of all 5 atoms:
1 Cs 0.000 0.000 0.000
2 Tl 0.500 0.500 0.500
3 As 0.000 0.500 0.500
4 As 0.500 0.000 0.500
5 Se 0.500 0.500 0.000

12.
CsTlAs2Se | PBE | relaxed

Values from the calculation:
E above lowest polymorph: 801 meV per atom
uncorrected formation energy: 1.13 eV/atom
electronic total energy: -10.34 eV/cell
space-group type: P4/mmm (123)
V: 44.64 Å³/atom

Cell: 6.022 6.022 6.154 Å, 90.00 90.00 90.00°
Fractional coordinates of all 5 atoms:
1 Cs 0.000 0.000 0.000
2 Tl 0.500 0.500 0.500
3 As 0.000 0.500 0.000
4 As 0.500 0.000 0.000
5 Se 0.000 0.000 0.500

13.
CsTlAsSe3 | PBE | relaxed

Values from the calculation:
uncorrected formation energy: -0.44 eV/atom
electronic total energy: -41.92 eV/cell
space-group type: C2/m (12)
V: 39.22 Å³/atom

Cell: 7.808 7.808 9.625 Å, 115.37 115.37 70.38°
Fractional coordinates of all 12 atoms:
1 Cs 0.191 0.191 0.209
2 Cs 0.809 0.809 0.791
3 Tl 0.182 0.818 0.500
4 Tl 0.818 0.182 0.500
5 As 0.474 0.474 0.849
6 As 0.526 0.526 0.151
7 Se 0.213 0.642 0.162
8 Se 0.261 0.261 0.664
9 Se 0.358 0.787 0.838
10 Se 0.642 0.213 0.162
11 Se 0.739 0.739 0.336
12 Se 0.787 0.358 0.838

14.
CsTlAsSe2 | PBE | relaxed

Values from the calculation:
E above lowest polymorph: 765 meV per atom
uncorrected formation energy: 0.86 eV/atom
electronic total energy: -10.54 eV/cell
space-group type: P4/mmm (123)
V: 47.07 Å³/atom

Cell: 6.212 6.212 6.099 Å, 90.00 90.00 90.00°
Fractional coordinates of all 5 atoms:
1 Cs 0.000 0.000 0.000
2 Tl 0.500 0.500 0.500
3 As 0.000 0.000 0.500
4 Se 0.000 0.500 0.000
5 Se 0.500 0.000 0.000

15.
CsTl2AsSe4 | PBE | relaxed

Values from the calculation:
uncorrected formation energy: -0.29 eV/atom
electronic total energy: -52.94 eV/cell
space-group type: Imma (74)
V: 29.90 Å³/atom

Cell: 8.788 8.788 8.788 Å, 120.68 119.70 89.67°
Fractional coordinates of all 16 atoms:
1 Cs 0.500 0.000 0.000
2 Cs 0.500 0.500 0.500
3 Tl 0.000 0.000 0.000
4 Tl 0.000 0.000 0.500
5 Tl 0.000 0.500 0.000
6 Tl 0.500 0.000 0.500
7 As 0.000 0.500 0.500
8 As 0.500 0.500 0.000
9 Se 0.193 0.730 0.462
10 Se 0.232 0.270 0.962
11 Se 0.233 0.269 0.536
12 Se 0.233 0.697 0.964
13 Se 0.767 0.303 0.036
14 Se 0.767 0.731 0.464
15 Se 0.768 0.730 0.038
16 Se 0.807 0.270 0.538

16.
Cs2TmAsSe4 | PBE | relaxed

Values from the calculation:
uncorrected formation energy: -1.04 eV/atom
electronic total energy: -66.17 eV/cell
space-group type: Fddd (70)
V: 42.05 Å³/atom

Cell: 15.131 13.566 8.254 Å, 84.05 63.09 32.86°
Fractional coordinates of all 16 atoms:
1 Cs 0.055 0.055 0.695
2 Cs 0.305 0.305 0.945
3 Cs 0.695 0.695 0.055
4 Cs 0.945 0.945 0.305
5 Tm 0.125 0.125 0.125
6 Tm 0.875 0.875 0.875
7 As 0.375 0.375 0.375
8 As 0.625 0.625 0.625
9 Se 0.020 0.335 0.427
10 Se 0.282 0.573 0.665
11 Se 0.335 0.020 0.718
12 Se 0.427 0.718 0.020
13 Se 0.573 0.282 0.980
14 Se 0.665 0.980 0.282
15 Se 0.718 0.427 0.335
16 Se 0.980 0.665 0.573

17.
CsUAsSe4 | PBE | relaxed

Values from the calculation:
uncorrected formation energy: -0.41 eV/atom
electronic total energy: -33.62 eV/cell
space-group type: F-43m (216)
V: 61.57 Å³/atom

Cell: 8.479 8.479 8.479 Å, 60.00 60.00 60.00°
Fractional coordinates of all 7 atoms:
1 Cs 0.000 0.000 0.000
2 U 0.750 0.750 0.750
3 As 0.500 0.500 0.500
4 Se 0.131 0.623 0.623
5 Se 0.623 0.131 0.623
6 Se 0.623 0.623 0.131
7 Se 0.623 0.623 0.623

18.
Cs2U2AsSe2 | PBE | relaxed

Values from the calculation:
uncorrected formation energy: -0.56 eV/atom
electronic total energy: -79.62 eV/cell
space-group type: I4/mmm (139)
V: 37.77 Å³/atom

Cell: 5.402 5.402 18.118 Å, 90.00 90.00 90.00°
Fractional coordinates of all 14 atoms:
1 Cs 0.000 0.000 0.191
2 Cs 0.000 0.000 0.809
3 Cs 0.500 0.500 0.309
4 Cs 0.500 0.500 0.691
5 U 0.000 0.500 0.000
6 U 0.000 0.500 0.500
7 U 0.500 0.000 0.000
8 U 0.500 0.000 0.500
9 As 0.000 0.000 0.000
10 As 0.500 0.500 0.500
11 Se 0.000 0.000 0.403
12 Se 0.000 0.000 0.597
13 Se 0.500 0.500 0.097
14 Se 0.500 0.500 0.903

19.
CsVAsSe2 | PBE | relaxed

Values from the calculation:
E above lowest polymorph: 0 meV per atom
uncorrected formation energy: -0.36 eV/atom
electronic total energy: -23.41 eV/cell
space-group type: P4/mmm (123)
V: 25.27 Å³/atom

Cell: 5.061 5.061 4.932 Å, 90.00 90.00 90.00°
Fractional coordinates of all 5 atoms:
1 Cs 0.000 0.000 0.000
2 V 0.500 0.500 0.500
3 As 0.500 0.500 0.000
4 Se 0.000 0.500 0.500
5 Se 0.500 0.000 0.500

20.
CsVAsSe2 | PBE | relaxed

Values from the calculation:
E above lowest polymorph: 2022 meV per atom
uncorrected formation energy: 1.66 eV/atom
electronic total energy: -13.30 eV/cell
space-group type: P4/mmm (123)
V: 37.13 Å³/atom

Cell: 5.677 5.677 5.760 Å, 90.00 90.00 90.00°
Fractional coordinates of all 5 atoms:
1 Cs 0.000 0.000 0.000
2 V 0.500 0.500 0.500
3 As 0.000 0.000 0.500
4 Se 0.000 0.500 0.000
5 Se 0.500 0.000 0.000

21.
CsYAs2Se | PBE | relaxed

Values from the calculation:
E above lowest polymorph: 0 meV per atom
uncorrected formation energy: -0.44 eV/atom
electronic total energy: -22.29 eV/cell
space-group type: P4/mmm (123)
V: 35.17 Å³/atom

Cell: 5.598 5.598 5.612 Å, 90.00 90.00 90.00°
Fractional coordinates of all 5 atoms:
1 Cs 0.000 0.000 0.000
2 Y 0.500 0.500 0.500
3 As 0.000 0.500 0.500
4 As 0.500 0.000 0.500
5 Se 0.500 0.500 0.000

22.
CsYAs2Se | PBE | relaxed

Values from the calculation:
E above lowest polymorph: 1404 meV per atom
uncorrected formation energy: 0.97 eV/atom
electronic total energy: -15.27 eV/cell
space-group type: P4/mmm (123)
V: 33.73 Å³/atom

Cell: 5.595 5.595 5.387 Å, 90.00 90.00 90.00°
Fractional coordinates of all 5 atoms:
1 Cs 0.000 0.000 0.000
2 Y 0.500 0.500 0.500
3 As 0.000 0.500 0.000
4 As 0.500 0.000 0.000
5 Se 0.000 0.000 0.500

23.
CsZnAsSe2 | PBE | relaxed

Values from the calculation:
E above lowest polymorph: 1259 meV per atom
uncorrected formation energy: 1.22 eV/atom
electronic total energy: -7.65 eV/cell
space-group type: P4/mmm (123)
V: 52.89 Å³/atom

Cell: 6.182 6.182 6.918 Å, 90.00 90.00 90.00°
Fractional coordinates of all 5 atoms:
1 Cs 0.000 0.000 0.000
2 Zn 0.500 0.500 0.500
3 As 0.000 0.000 0.500
4 Se 0.000 0.500 0.000
5 Se 0.500 0.000 0.000

24.
CsZnAsSe2 | PBE | relaxed

Values from the calculation:
E above lowest polymorph: 0 meV per atom
uncorrected formation energy: -0.04 eV/atom
electronic total energy: -13.95 eV/cell
space-group type: P4/mmm (123)
V: 27.86 Å³/atom

Cell: 5.310 5.310 4.941 Å, 90.00 90.00 90.00°
Fractional coordinates of all 5 atoms:
1 Cs 0.000 0.000 0.000
2 Zn 0.500 0.500 0.500
3 As 0.500 0.500 0.000
4 Se 0.000 0.500 0.500
5 Se 0.500 0.000 0.500

25.
CsZnAsSe3 | PBE | relaxed

Values from the calculation:
uncorrected formation energy: -0.64 eV/atom
electronic total energy: -42.14 eV/cell
space-group type: P2_1/m (11)
V: 31.17 Å³/atom

Cell: 9.604 4.073 10.306 Å, 90.00 111.90 90.00°
Fractional coordinates of all 12 atoms:
1 Cs 0.208 0.250 0.247
2 Cs 0.792 0.750 0.753
3 Zn 0.089 0.250 0.613
4 Zn 0.911 0.750 0.387
5 As 0.340 0.750 0.881
6 As 0.660 0.250 0.119
7 Se 0.146 0.250 0.869
8 Se 0.192 0.750 0.538
9 Se 0.465 0.750 0.136
10 Se 0.535 0.250 0.864
11 Se 0.808 0.250 0.462
12 Se 0.854 0.750 0.131